Record 1
LaAlZn4, relaxed, DFT GGA-PBE; size of the total moment = 0.00 μB/cell; N(E_F) = 1.9 states/eV/f.u.; E_form = -71 kJ/mol of formula units; electronic total energy = -2.42 eV per atom
1.0
0.000 3.869 3.869
3.869 0.000 3.869
3.869 3.869 0.000
La Al Zn
1 1 4
direct
0.000 0.000 0.000
0.250 0.250 0.250
0.126 0.625 0.625
0.625 0.126 0.625
0.625 0.625 0.126
0.625 0.625 0.625

***

Record 2
La6AlZn2, relaxed, DFT GGA-PBE; size of the total moment = 0.00 μB/cell; N(E_F) = 12.2 states/eV/f.u.; E_form = -155 kJ/mol of formula units; electronic total energy = -4.16 eV per atom
1.0
-5.116 5.127 5.267
5.116 -5.127 5.267
5.116 5.127 -5.267
La Al Zn
12 2 4
direct
0.047 0.247 0.801
0.185 0.268 0.453
0.185 0.732 0.916
0.320 0.046 0.727
0.320 0.593 0.273
0.446 0.247 0.199
0.554 0.753 0.801
0.680 0.407 0.727
0.680 0.954 0.273
0.815 0.268 0.084
0.815 0.732 0.547
0.953 0.753 0.199
0.000 0.000 0.000
0.500 0.500 0.000
0.123 0.623 0.500
0.368 0.000 0.368
0.632 0.000 0.632
0.877 0.377 0.500

***

Record 3
La2Al3Zn9, relaxed, DFT GGA-PBE; size of the total moment = 0.00 μB/cell; N(E_F) = 4.4 states/eV/f.u.; E_form = -383 kJ/mol of formula units; electronic total energy = -2.61 eV per atom
1.0
6.843 -3.987 0.000
6.843 3.987 0.000
0.000 0.000 9.409
La Al Zn
4 6 18
direct
0.000 0.328 0.250
0.000 0.672 0.750
0.328 0.000 0.750
0.672 0.000 0.250
0.000 0.000 0.000
0.000 0.000 0.500
0.316 0.316 0.000
0.316 0.316 0.500
0.684 0.684 0.000
0.684 0.684 0.500
0.030 0.661 0.089
0.030 0.661 0.411
0.144 0.856 0.250
0.339 0.970 0.089
0.339 0.970 0.411
0.341 0.659 0.556
0.341 0.659 0.944
0.353 0.458 0.250
0.458 0.353 0.750
0.542 0.647 0.250
0.647 0.542 0.750
0.659 0.341 0.056
0.659 0.341 0.444
0.661 0.030 0.589
0.661 0.030 0.911
0.856 0.144 0.750
0.970 0.339 0.589
0.970 0.339 0.911

***

Record 4
La2Al2Zn, relaxed, DFT GGA-PBE; size of the total moment = 0.00 μB/cell; N(E_F) = 4.1 states/eV/f.u.; E_form = -150 kJ/mol of formula units; electronic total energy = -4.03 eV per atom
1.0
7.087 0.000 0.000
0.000 7.087 0.000
0.000 0.000 5.030
La Al Zn
4 4 2
direct
0.170 0.330 0.000
0.330 0.830 0.000
0.670 0.170 0.000
0.830 0.670 0.000
0.135 0.635 0.500
0.365 0.135 0.500
0.635 0.865 0.500
0.865 0.365 0.500
0.000 0.000 0.500
0.500 0.500 0.500